Na2CdCuF6 after structural relaxation. Source: Alexandria, functional PBE.

Computed properties:
Crystal system: monoclinic
Energy in eV/atom: -4.103

Lattice parameters (Å, degrees): 5.5580 5.7042 8.6050 90.00 94.00 90.00
Each line ends with the local moment (μB).
Sites, in units of the cell vectors:
F (0.2763, 0.6850, 0.0792)  0.06
F (0.7237, 0.3150, 0.9208)  0.06
F (0.6717, 0.2827, 0.5639)  0.06
F (0.3283, 0.7173, 0.4361)  0.06
F (0.2237, 0.1850, 0.4208)  0.06
F (0.7763, 0.8150, 0.5792)  0.06
F (0.8641, 0.5682, 0.2603)  0.01
F (0.8283, 0.7827, 0.9361)  0.06
F (0.1717, 0.2173, 0.0639)  0.06
F (0.1359, 0.4318, 0.7397)  0.01
F (0.3641, 0.9318, 0.7603)  0.01
F (0.6359, 0.0682, 0.2397)  0.01
Na (0.5237, 0.5591, 0.7377)  0.00
Na (0.0237, 0.9409, 0.2377)  0.00
Na (0.9763, 0.0591, 0.7623)  0.00
Na (0.4763, 0.4409, 0.2623)  0.00
Cd (0.0000, 0.5000, 0.5000)  0.01
Cd (0.5000, 0.0000, 0.0000)  0.01
Cu (0.0000, 0.5000, 0.0000)  0.72
Cu (0.5000, 0.0000, 0.5000)  0.72